TlAgPb2 after structural relaxation, computed with PBE.

Geometry as POSCAR:
```
TlAgPb2
1.0
3.4823 0.0000 0.0000
0.0000 5.6419 0.0000
0.0000 0.0000 11.4505
Tl Ag Pb
2 2 4
Direct
0.0000 0.0000 0.0000 Tl
0.5000 0.5000 0.5000 Tl
0.0000 0.0000 0.5000 Ag
0.5000 0.5000 0.0000 Ag
0.0000 0.5000 0.2204 Pb
0.0000 0.5000 0.7796 Pb
0.5000 0.0000 0.2796 Pb
0.5000 0.0000 0.7204 Pb
```

Results
Space-group type = Immm (71)
Formation energy = 0.32 eV/f.u.
Energy relative to the lowest polymorph listed for this composition = 56 meV per atom
E_tot = -3.079 eV/atom